The following is a DFT calculation (GGA-PBE) of a relaxed CrW2Br crystal.

The structure belongs to space group P4mm (No. 99); the cell edges are 3.3935, 3.3935 and 7.0019 Å and the angles 90.00°, 90.00° and 90.00°. The inequivalent atoms are Cr at (0.0000, 0.0000, 0.0000), W at (0.0000, 0.0000, 0.3194), W at (0.5000, 0.5000, 0.1456) and Br at (0.5000, 0.5000, 0.7533).

Its total energy is -8.60 eV per atom. The calculation puts the total magnetization at 0.00 μB per formula unit. The density of states at the Fermi level is 2.0 states/eV/f.u. For the uncorrected formation energy, the calculation gives 16.24 kcal/mol of atoms.



The following is a DFT calculation (GGA-PBE) of a relaxed Cr3WBr crystal.

The structure belongs to space group Pm-3m (No. 221); the cell edges are 4.8592, 4.8592 and 4.8592 Å and the angles 90.00°, 90.00° and 90.00°. The inequivalent atoms are Cr at (0.0000, 0.0000, 0.5000), W at (0.0000, 0.0000, 0.0000) and Br at (0.5000, 0.5000, 0.5000).

Its total energy is -7.20 eV per atom. The calculation puts the total magnetization at 10.04 μB per formula unit. The density of states at the Fermi level is 3.8 states/eV/f.u. For the uncorrected formation energy, the calculation gives 34.46 kcal/mol of atoms.